# ErP5O14 (PBEsol, relaxed)
# **Total magnetic moment**: 0.001 μB per cell
# **Uncorrected formation energy**: -2369 meV/atom
# **Offset from the most stable computed form**: 0 meV/atom
# **Total DFT energy (no corrections)**: -7.738 eV per atom
data_ErP5O14
_space_group_name_H-M_alt 'C 1 2/c 1'
_space_group_IT_number 15
_cell_length_a 12.8981
_cell_length_b 12.7842
_cell_length_c 12.3933
_cell_angle_alpha 90.00
_cell_angle_beta 91.45
_cell_angle_gamma 90.00
loop_
_space_group_symop_operation_xyz
'x,y,z'
'-x,-y,-z'
'-x,y,-z+1/2'
'x,-y,z+1/2'
'x+1/2,y+1/2,z'
'-x+1/2,-y+1/2,-z'
'-x+1/2,y+1/2,-z+1/2'
'x+1/2,-y+1/2,z+1/2'
loop_
_atom_site_label
_atom_site_type_symbol
_atom_site_fract_x
_atom_site_fract_y
_atom_site_fract_z
_atom_site_occupancy
Er1 Er 0.0000 0.0190 0.2500 1
Er2 Er 0.0000 0.4674 0.2500 1
P1 P 0.0233 0.3513 0.5338 1
P2 P 0.1448 0.0322 0.0001 1
P3 P 0.1487 0.1696 0.6046 1
P4 P 0.1746 0.2467 0.2601 1
P5 P 0.1830 0.3656 0.8902 1
O1 O 0.0241 0.4002 0.4258 1
O2 O 0.0588 0.4066 0.6341 1
O3 O 0.0775 0.0639 0.0904 1
O4 O 0.0851 0.2416 0.5236 1
O5 O 0.0901 0.1282 0.6954 1
O6 O 0.0925 0.3031 0.9438 1
O7 O 0.1092 0.0376 0.8862 1
O8 O 0.1132 0.1525 0.2853 1
O9 O 0.1254 0.3481 0.2320 1
O10 O 0.1524 0.4537 0.8199 1
O11 O 0.1930 0.0845 0.5261 1
O12 O 0.2450 0.2389 0.6368 1
O13 O 0.2450 0.2749 0.8364 1
O14 O 0.2494 0.3997 0.9933 1